No. 1
Below is a geometry-optimized TeN structure, with properties calculated at the PBE level.

Structure (extended XYZ):
```
16
Lattice="-2.1460 9.9152 -1.0210 -7.3911 -0.8822 6.9680 2.0365 0.6720 2.2452" Properties=species:S:1:pos:R:3 pbc="T T T"
Te -2.7233 4.2067 1.2110
Te -6.8139 4.8263 4.7359
Te -4.9260 7.1516 2.3276
Te -4.6112 1.8814 3.6193
Te -6.4736 9.0592 5.3071
Te -1.0271 0.6458 2.8850
Te -6.5303 2.0889 7.4447
Te -0.9704 7.6161 0.7474
N -7.0769 2.9516 5.5355
N -2.4603 6.0814 0.4114
N -3.0824 1.1668 2.4466
N -6.4547 7.8663 3.5003
N -3.4361 8.6863 2.6636
N -4.0646 1.0187 5.5285
N -6.8328 6.0193 6.5427
N -0.6679 3.6857 1.6494
```

Computed properties:
energy relative to the elements, uncorrected = 0.9999 eV/atom
symmetry = I4/m (87)
distance to the lowest polymorph of the same formula = 119 meV per atom
V = 20.17 A^3/atom
crystal system = tetragonal
size of the total moment = 0.000 μB per atom



No. 2
Below is a geometry-optimized TeN structure, with properties calculated at the PBE level.

Structure (extended XYZ):
```
12
Lattice="6.6454 0.0000 0.0000 0.0000 6.6454 0.0000 0.0000 0.0000 6.6454" Properties=species:S:1:pos:R:3 pbc="T T T"
Te 1.6614 3.3227 0.0000
Te 4.9841 3.3227 0.0000
Te 3.3227 0.0000 1.6614
Te 3.3227 0.0000 4.9841
Te 0.0000 1.6614 3.3227
Te 0.0000 4.9841 3.3227
N 1.6614 0.0000 3.3227
N 4.9841 0.0000 3.3227
N 0.0000 3.3227 1.6614
N 0.0000 3.3227 4.9841
N 3.3227 1.6614 0.0000
N 3.3227 4.9841 0.0000
```

Computed properties:
energy relative to the elements, uncorrected = 1.4987 eV/atom
symmetry = Pm-3n (223)
distance to the lowest polymorph of the same formula = 618 meV per atom
V = 24.46 A^3/atom
crystal system = cubic
size of the total moment = 0.000 μB per atom



No. 3
Below is a geometry-optimized TeN structure, with properties calculated at the PBE level.

Structure (extended XYZ):
```
8
Lattice="8.1515 0.0000 0.0000 0.0000 8.1515 0.0000 0.0000 0.0000 3.1721" Properties=species:S:1:pos:R:3 pbc="T T T"
Te 2.4569 2.4569 0.0000
Te 6.5327 1.6188 1.5861
Te 1.6188 6.5327 1.5861
Te 5.6945 5.6945 0.0000
N 2.5226 5.6288 0.0000
N 6.5984 6.5984 1.5861
N 1.5531 1.5531 1.5861
N 5.6288 2.5226 0.0000
```

Computed properties:
energy relative to the elements, uncorrected = 1.1702 eV/atom
symmetry = P4_2/mnm (136)
distance to the lowest polymorph of the same formula = 289 meV per atom
V = 26.35 A^3/atom
crystal system = tetragonal
size of the total moment = 0.000 μB per atom



No. 4
Below is a geometry-optimized TeN structure, with properties calculated at the PBE level.

Structure (extended XYZ):
```
12
Lattice="3.3004 0.0000 0.0000 0.0000 12.8449 0.0000 0.0000 0.0000 6.2249" Properties=species:S:1:pos:R:3 pbc="T T T"
Te 0.0000 3.3747 4.6258
Te 0.0000 9.4702 4.6258
Te 0.0000 9.7971 1.5133
Te 0.0000 3.0478 1.5133
Te 1.6502 0.0000 4.4055
Te 1.6502 6.4225 1.2930
N 1.6502 10.6113 4.0170
N 1.6502 2.2336 4.0170
N 1.6502 4.1889 0.9045
N 1.6502 8.6560 0.9045
N 0.0000 0.0000 3.2210
N 0.0000 6.4225 0.1085
```

Computed properties:
energy relative to the elements, uncorrected = 1.0109 eV/atom
symmetry = Amm2 (38)
distance to the lowest polymorph of the same formula = 130 meV per atom
V = 21.99 A^3/atom
crystal system = orthorhombic
size of the total moment = 0.000 μB per atom



No. 5
Below is a geometry-optimized TeN structure, with properties calculated at the PBE level.

Structure (extended XYZ):
```
32
Lattice="-7.8996 -0.8606 2.7388 -1.9921 -6.1396 -7.6753 2.0488 -5.7812 4.0927" Properties=species:S:1:pos:R:3 pbc="T T T"
Te 0.5571 -1.5721 1.1129
Te 1.4916 -4.2091 2.9797
Te -1.4652 -10.4742 -1.0689
Te -2.3997 -7.8372 -2.9357
Te 0.5854 -7.5324 -0.6784
Te -0.5288 -4.3883 -2.9042
Te -1.4935 -4.5139 0.7224
Te -2.4280 -1.8768 -1.1444
Te -2.3683 -4.8930 4.5286
Te -3.4825 -1.7488 2.3028
Te -6.4393 -8.0140 -1.7458
Te -7.3739 -5.3769 -3.6126
Te -4.3887 -5.0722 -1.3553
Te -3.4542 -7.7092 0.5115
Te -4.4189 -7.8348 4.1382
Te -5.3534 -5.1977 2.2713
N -0.7318 -2.2552 -2.8194
N -1.2604 -3.8843 -4.8560
N -2.2250 -4.0099 -1.2293
N -1.6964 -2.3808 0.8073
N -0.7034 -8.2156 -4.6107
N 0.7601 -3.7051 1.0280
N -2.1967 -9.9703 -3.0206
N -1.6681 -8.3412 -0.9840
N -3.6572 -5.5761 0.5964
N -4.1858 -7.2052 -1.4402
N -5.1504 -7.3308 2.1864
N -4.6218 -5.7017 4.2231
N -5.6776 -5.7553 -5.2876
N -4.2141 -1.2449 0.3511
N -7.1709 -7.5100 -3.6975
N -6.6423 -5.8809 -1.6609
```

Computed properties:
energy relative to the elements, uncorrected = 0.9917 eV/atom
symmetry = Fddd (70)
distance to the lowest polymorph of the same formula = 111 meV per atom
V = 19.42 A^3/atom
crystal system = orthorhombic
size of the total moment = 0.000 μB per atom



No. 6
Below is a geometry-optimized TeN structure, with properties calculated at the PBE level.

Structure (extended XYZ):
```
8
Lattice="5.4249 0.0000 0.0000 0.0000 5.4249 0.0000 0.0000 0.0000 5.4249" Properties=species:S:1:pos:R:3 pbc="T T T"
Te 0.0000 0.0000 0.0000
Te 0.0000 2.7124 2.7124
Te 2.7124 0.0000 2.7124
Te 2.7124 2.7124 0.0000
N 1.3562 1.3562 1.3562
N 1.3562 4.0686 4.0686
N 4.0686 1.3562 4.0686
N 4.0686 4.0686 1.3562
```

Computed properties:
energy relative to the elements, uncorrected = 1.3837 eV/atom
symmetry = F-43m (216)
distance to the lowest polymorph of the same formula = 503 meV per atom
V = 19.96 A^3/atom
crystal system = cubic
size of the total moment = 0.000 μB per atom



No. 7
Below is a geometry-optimized TeN2 structure, with properties calculated at the PBE level.

Structure (extended XYZ):
```
3
Lattice="-2.2836 -2.7416 -1.0848 0.7823 -1.9753 -3.0650 1.0822 -3.5563 0.2993" Properties=species:S:1:pos:R:3 pbc="T T T"
Te 0.0000 0.0000 0.0000
N -0.3143 -6.2049 -2.8879
N -0.1048 -2.0683 -0.9626
```

Computed properties:
energy relative to the elements, uncorrected = 1.7541 eV/atom
symmetry = Fm-3m (225)
distance to the lowest polymorph of the same formula = 1646 meV per atom
V = 12.23 A^3/atom
crystal system = cubic
size of the total moment = 0.000 μB per atom



No. 8
Below is a geometry-optimized TeN4 structure, with properties calculated at the PBE level.

Structure (extended XYZ):
```
5
Lattice="7.4934 4.6888 0.1953 1.9265 9.9638 0.0849 -0.0988 -1.6802 2.4032" Properties=species:S:1:pos:R:3 pbc="T T T"
Te 0.0000 0.0000 0.0000
N 6.0100 9.0546 0.6394
N 2.6454 3.2018 1.5122
N 6.6757 9.7706 1.1711
N 3.3111 3.9178 2.0440
```

Computed properties:
energy relative to the elements, uncorrected = 0.1869 eV/atom
symmetry = P-1 (2)
distance to the lowest polymorph of the same formula = 0 meV per atom
V = 31.66 A^3/atom
crystal system = triclinic
size of the total moment = 0.067 μB per atom



No. 9
Below is a geometry-optimized TeN structure, with properties calculated at the PBE level.

Structure (extended XYZ):
```
16
Lattice="7.3286 0.0000 0.0000 0.0000 5.9860 0.0000 0.0000 0.0000 8.5599" Properties=species:S:1:pos:R:3 pbc="T T T"
Te 5.0462 4.0188 5.3587
Te 1.3819 4.9603 3.2012
Te 2.2824 1.0258 7.4812
Te 5.9467 1.9672 1.0787
Te 2.4427 1.8575 2.3151
Te 6.1070 1.1355 6.2448
Te 4.8860 4.8505 1.9648
Te 1.2217 4.1286 6.5951
N 2.2014 4.2529 4.9103
N 5.8657 4.7261 3.6496
N 5.1272 1.2599 7.9296
N 1.4629 1.7331 0.6303
N 3.1418 5.8247 2.5074
N 6.8062 3.1543 6.0526
N 4.1868 2.8317 1.7726
N 0.5225 0.1613 6.7873
```

Computed properties:
energy relative to the elements, uncorrected = 0.9101 eV/atom
symmetry = P2_12_12_1 (19)
distance to the lowest polymorph of the same formula = 29 meV per atom
V = 23.47 A^3/atom
crystal system = orthorhombic
size of the total moment = 0.000 μB per atom



No. 10
Below is a geometry-optimized TeN structure, with properties calculated at the PBE level.

Structure (extended XYZ):
```
16
Lattice="9.1103 0.0000 0.0000 0.0000 9.1103 0.0000 0.0000 0.0000 4.1228" Properties=species:S:1:pos:R:3 pbc="T T T"
Te 2.6255 8.5322 0.0000
Te 6.4848 0.5782 0.0000
Te 0.5782 2.6255 0.0000
Te 8.5322 6.4848 0.0000
Te 7.1807 3.9770 2.0614
Te 1.9296 5.1333 2.0614
Te 5.1333 7.1807 2.0614
Te 3.9770 1.9296 2.0614
N 3.4371 1.3357 0.0000
N 5.6733 7.7746 0.0000
N 7.7746 3.4371 0.0000
N 1.3357 5.6733 0.0000
N 7.9922 5.8909 2.0614
N 1.1181 3.2195 2.0614
N 3.2195 7.9922 2.0614
N 5.8909 1.1181 2.0614
```

Computed properties:
energy relative to the elements, uncorrected = 1.0309 eV/atom
symmetry = I4/m (87)
distance to the lowest polymorph of the same formula = 150 meV per atom
V = 21.39 A^3/atom
crystal system = tetragonal
size of the total moment = 0.000 μB per atom



Q: Number 3 is which compound?
A: TeN



Q: The lowest V belongs to which entry?
A: TeN2